# 1
SrCoTe2 | PBE-GGA | optimized geometry

The structure in CIF format:
```
data_SrCoTe2
_chemical_formula_sum 'Sr1 Co1 Te2'
_symmetry_space_group_name_H-M 'P 4 m m'
_symmetry_Int_Tables_number 99
_cell_length_a 3.504
_cell_length_b 3.504
_cell_length_c 9.327
_cell_angle_alpha 90.00
_cell_angle_beta 90.00
_cell_angle_gamma 90.00
loop_
_symmetry_equiv_pos_as_xyz
'x,y,z'
'-y,x,z'
'-x,-y,z'
'y,-x,z'
'-x,y,z'
'y,x,z'
'x,-y,z'
'-y,-x,z'
loop_
_atom_site_label
_atom_site_type_symbol
_atom_site_fract_x
_atom_site_fract_y
_atom_site_fract_z
Sr1 Sr 0.000 0.000 0.000
Co1 Co 0.500 0.500 0.738
Te1 Te 0.000 0.000 0.646
Te2 Te 0.500 0.500 0.240
```

Summary:
- Formation energy from raw total energies: -0.218 eV/atom



# 2
Pu2Ga4RhAu3 | PBE-GGA | optimized geometry

The structure in CIF format:
```
data_Pu2Ga4RhAu3
_chemical_formula_sum 'Pu2 Ga4 Rh1 Au3'
_symmetry_space_group_name_H-M 'P -4 m 2'
_symmetry_Int_Tables_number 115
_cell_length_a 4.192
_cell_length_b 4.192
_cell_length_c 11.310
_cell_angle_alpha 90.00
_cell_angle_beta 90.00
_cell_angle_gamma 90.00
loop_
_symmetry_equiv_pos_as_xyz
'x,y,z'
'y,-x,-z'
'-x,-y,z'
'-y,x,-z'
'-x,y,z'
'-y,-x,-z'
'x,-y,z'
'y,x,-z'
loop_
_atom_site_label
_atom_site_type_symbol
_atom_site_fract_x
_atom_site_fract_y
_atom_site_fract_z
Pu1 Pu 0.000 0.500 0.243
Ga1 Ga 0.000 0.000 0.500
Ga2 Ga 0.000 0.500 0.869
Ga3 Ga 0.500 0.500 0.500
Rh1 Rh 0.500 0.500 0.000
Au1 Au 0.000 0.000 0.000
Au2 Au 0.000 0.500 0.644
```

Summary:
- Energy of formation from the pure elements: -442 meV/atom



Number 1: spin magnetization 0.0 Bohr magnetons per cell, Fermi-level density of states 2.46 states/eV/f.u.. Number 2: spin magnetization 11.1 Bohr magnetons per cell, Fermi-level density of states 28.28 states/eV/f.u..